# IrPt2Pb

A PBEsol-optimized structure of IrPt2Pb (SCAN, Alexandria via LeMat-Bulk).

Unit cell a=4.800 b=4.800 c=4.915 alpha=99.61 beta=99.61 gamma=37.25
Atoms (fractional coordinates):
Ir  0.000  0.000  0.000
Pt  0.258  0.258  0.772
Pt  0.742  0.742  0.228
Pb  0.500  0.500  0.500

Formation enthalpy at 0 K, eV/atom: 0.36
Crystal system: monoclinic
Calculated volume, Å³ per cell: 67

---

# IrPtPb2

A PBEsol-optimized structure of IrPtPb2 (SCAN, Alexandria via LeMat-Bulk).

Unit cell a=5.001 b=5.001 c=3.099 alpha=90.00 beta=90.00 gamma=90.00
Atoms (fractional coordinates):
Ir  0.000  0.000  0.000
Pt  0.500  0.500  0.000
Pb  0.000  0.500  0.500
Pb  0.500  0.000  0.500

Formation enthalpy at 0 K, eV/atom: 0.47
Crystal system: tetragonal
Calculated volume, Å³ per cell: 77
Energy above the most stable polymorph in this dataset, eV per atom: 0.000

---

# IrPt2Pb

A PBEsol-optimized structure of IrPt2Pb (SCAN, Alexandria via LeMat-Bulk).

Unit cell a=5.610 b=5.610 c=5.610 alpha=150.24 beta=129.40 gamma=59.81
Atoms (fractional coordinates):
Ir  0.000  0.000  0.000
Pt  0.241  0.741  0.500
Pt  0.759  0.259  0.500
Pb  0.500  0.500  0.000

Formation enthalpy at 0 K, eV/atom: 0.38
Crystal system: orthorhombic
Calculated volume, Å³ per cell: 67

---

# IrPtPb

A PBEsol-optimized structure of IrPtPb (SCAN, Alexandria via LeMat-Bulk).

Unit cell a=4.438 b=4.438 c=3.086 alpha=90.00 beta=90.00 gamma=120.00
Atoms (fractional coordinates):
Ir  0.000  0.000  0.000
Pt  0.333  0.667  0.626
Pb  0.667  0.333  0.305

Formation enthalpy at 0 K, eV/atom: 0.55
Crystal system: trigonal
Calculated volume, Å³ per cell: 53
Energy above the most stable polymorph in this dataset, eV per atom: 0.232

---

# IrPtPb2

A PBEsol-optimized structure of IrPtPb2 (SCAN, Alexandria via LeMat-Bulk).

Unit cell a=8.812 b=8.812 c=8.812 alpha=21.28 beta=21.28 gamma=21.28
Atoms (fractional coordinates):
Ir  0.000  0.000  0.000
Pt  0.500  0.500  0.500
Pb  0.252  0.252  0.252
Pb  0.748  0.748  0.748

Formation enthalpy at 0 K, eV/atom: 0.50
Crystal system: trigonal
Calculated volume, Å³ per cell: 79
Energy above the most stable polymorph in this dataset, eV per atom: 0.028

---

# IrPtPb2

A PBEsol-optimized structure of IrPtPb2 (SCAN, Alexandria via LeMat-Bulk).

Unit cell a=5.529 b=5.529 c=5.529 alpha=136.96 beta=136.96 gamma=62.50
Atoms (fractional coordinates):
Ir  0.000  0.000  0.000
Pt  0.250  0.750  0.500
Pb  0.500  0.500  0.000
Pb  0.750  0.250  0.500

Formation enthalpy at 0 K, eV/atom: 0.49
Crystal system: tetragonal
Calculated volume, Å³ per cell: 78
Energy above the most stable polymorph in this dataset, eV per atom: 0.017

---

# ReIr2Pb

A PBEsol-optimized structure of ReIr2Pb (SCAN, Alexandria via LeMat-Bulk).

Unit cell a=9.476 b=9.476 c=9.476 alpha=17.36 beta=17.36 gamma=17.36
Atoms (fractional coordinates):
Re  0.000  0.000  0.000
Ir  0.258  0.258  0.258
Ir  0.742  0.742  0.742
Pb  0.500  0.500  0.500

Formation enthalpy at 0 K, eV/atom: 0.48
Crystal system: trigonal
Calculated volume, Å³ per cell: 66

---

# Re2IrPb

A PBEsol-optimized structure of Re2IrPb (SCAN, Alexandria via LeMat-Bulk).

Unit cell a=2.848 b=2.848 c=8.055 alpha=90.00 beta=90.00 gamma=90.00
Atoms (fractional coordinates):
Re  0.000  0.000  0.227
Re  0.000  0.000  0.773
Ir  0.500  0.500  0.000
Pb  0.500  0.500  0.500

Formation enthalpy at 0 K, eV/atom: 0.85
Crystal system: tetragonal
Calculated volume, Å³ per cell: 65